The following is a DFT calculation (GGA-PBE) of an optimized crystal structure of NbCd2ReOs.

For the density of states at the Fermi level, the calculation gives 5.1 states/eV/cell. As for the total moment: 1.46 μB/f.u. Its formation energy from the elements is 1758.7 meV/atom.

Cell: 5.1115 5.1115 4.6796 Å, 90.00 90.00 90.00°
Last column: nearest neighbours and their distance in Å.
Space group P4/mmm (No. 123)
Unique sites:
Nb 0.0000 0.0000 0.0000 x1  8 Cd 3.47, 4 Os 3.61
Cd 0.0000 0.5000 0.5000 x2  2 Re 2.56
Re 0.5000 0.5000 0.5000 x1  2 Os 2.34, 4 Cd 2.56
Os 0.5000 0.5000 0.0000 x1  2 Re 2.34